a | The following is a GGA-PBE calculation of CaGa3F after structural relaxation, from Alexandria via LeMat-Bulk.

As for the crystal system: cubic.

It has space group Pm-3m (No. 221), with a = 5.8261 Å, b = 5.8261 Å, c = 5.8261 Å, α = 90.00°, β = 90.00° and γ = 90.00°. Symmetry generates all atoms from Ca at (0.0000, 0.0000, 0.0000), Ga at (0.0000, 0.0000, 0.5000) and F at (0.5000, 0.5000, 0.5000).

b | The following is a GGA-PBE calculation of CaGa3F after structural relaxation, from Alexandria via LeMat-Bulk.

As for the crystal system: cubic.

It has space group Pm-3m (No. 221), with a = 4.7481 Å, b = 4.7481 Å, c = 4.7481 Å, α = 90.00°, β = 90.00° and γ = 90.00°. Symmetry generates all atoms from Ca at (0.0000, 0.0000, 0.0000), Ga at (0.0000, 0.5000, 0.5000) and F at (0.5000, 0.5000, 0.5000).

Of them, a has the lowest stability.

a | The following is a GGA-PBE calculation of CaGa2F8 after structural relaxation, from Alexandria via LeMat-Bulk.

As for the crystal system: monoclinic.

It has space group C2/m (No. 12), with a = 8.2528 Å, b = 6.3703 Å, c = 5.5078 Å, α = 90.00°, β = 101.04° and γ = 90.00°. Symmetry generates all atoms from Ca at (0.0000, 0.0000, 0.0000), Ga at (0.1822, 0.5000, 0.4517), F at (0.0669, 0.5000, 0.7173), F at (0.1386, 0.1914, 0.3435) and F at (0.2145, 0.0000, 0.8166).

b | The following is a GGA-PBE calculation of CaGa2F8 after structural relaxation, from Alexandria via LeMat-Bulk.

As for the crystal system: monoclinic.

It has space group C2/m (No. 12), with a = 11.0744 Å, b = 5.5735 Å, c = 5.7207 Å, α = 90.00°, β = 108.49° and γ = 90.00°. Symmetry generates all atoms from Ca at (0.0000, 0.0000, 0.0000), Ga at (0.2174, 0.0000, 0.7142), F at (0.1159, 0.5000, 0.2204), F at (0.1310, 0.2300, 0.8209) and F at (0.1575, 0.0000, 0.3756).

Of them, b has the lowest stability.

a | The following is a GGA-PBE calculation of CaGaOF2 after structural relaxation, from Alexandria via LeMat-Bulk.

As for the crystal system: tetragonal.

It has space group P4/mmm (No. 123), with a = 4.3165 Å, b = 4.3165 Å, c = 4.6618 Å, α = 90.00°, β = 90.00° and γ = 90.00°. Symmetry generates all atoms from Ca at (0.0000, 0.0000, 0.0000), Ga at (0.5000, 0.5000, 0.5000), O at (0.0000, 0.0000, 0.5000) and F at (0.0000, 0.5000, 0.0000).

b | The following is a GGA-PBE calculation of CaGaOF2 after structural relaxation, from Alexandria via LeMat-Bulk.

As for the crystal system: tetragonal.

It has space group P4/mmm (No. 123), with a = 4.2339 Å, b = 4.2339 Å, c = 4.0005 Å, α = 90.00°, β = 90.00° and γ = 90.00°. Symmetry generates all atoms from Ca at (0.0000, 0.0000, 0.0000), Ga at (0.5000, 0.5000, 0.5000), O at (0.5000, 0.5000, 0.0000) and F at (0.0000, 0.5000, 0.5000).

Of them, a has the lowest stability.

a | The following is a GGA-PBE calculation of CaGeF2 after structural relaxation, from Alexandria via LeMat-Bulk.

As for the crystal system: trigonal.

It has space group R-3m (No. 166, hexagonal axes), with a = 3.4104 Å, b = 3.4104 Å, c = 26.1556 Å, α = 90.00°, β = 90.00° and γ = 120.00°. Symmetry generates all atoms from Ca at (0.0000, 0.0000, 0.0000), Ge at (0.0000, 0.0000, 0.5000) and F at (0.0000, 0.0000, 0.3739).

b | The following is a GGA-PBE calculation of CaGeF2 after structural relaxation, from Alexandria via LeMat-Bulk.

As for the crystal system: cubic.

It has space group Fm-3m (No. 225), with a = 6.4024 Å, b = 6.4024 Å, c = 6.4024 Å, α = 90.00°, β = 90.00° and γ = 90.00°. Symmetry generates all atoms from Ca at (0.0000, 0.0000, 0.0000), Ge at (0.0000, 0.0000, 0.5000) and F at (0.2500, 0.2500, 0.2500).

Of them, b has the lowest stability.